[1]
# Fe2TcAs (PBE, optimized geometry)
data_Fe2TcAs
_chemical_formula_sum 'Fe2 Tc1 As1'
_space_group_name_H-M_alt 'P 4/m m m'
_space_group_IT_number 123
_space_group_name_Hall '-P 4 2'
_cell_length_a 3.1361
_cell_length_b 3.1361
_cell_length_c 5.3987
_cell_angle_alpha 90.00
_cell_angle_beta 90.00
_cell_angle_gamma 90.00
loop_
_atom_site_label
_atom_site_type_symbol
_atom_site_fract_x
_atom_site_fract_y
_atom_site_fract_z
_atom_site_occupancy
Fe1 Fe 0.0000 0.0000 0.2425 1
Tc1 Tc 0.5000 0.5000 0.5000 1
As1 As 0.5000 0.5000 0.0000 1
# Excess energy over the best structure of this formula in the dataset ... 112 meV/atom
# E_form ... 0.15 eV per atom

***

[2]
# Hf2ZnGeBr (PBE, optimized geometry)
data_Hf2ZnGeBr
_chemical_formula_sum 'Hf2 Zn1 Ge1 Br1'
_space_group_name_H-M_alt 'P 4/m m m'
_space_group_IT_number 123
_space_group_name_Hall '-P 4 2'
_cell_length_a 5.0978
_cell_length_b 5.0978
_cell_length_c 5.2234
_cell_angle_alpha 90.00
_cell_angle_beta 90.00
_cell_angle_gamma 90.00
loop_
_atom_site_label
_atom_site_type_symbol
_atom_site_fract_x
_atom_site_fract_y
_atom_site_fract_z
_atom_site_occupancy
Hf1 Hf 0.0000 0.5000 0.0000 1
Zn1 Zn 0.0000 0.0000 0.5000 1
Ge1 Ge 0.5000 0.5000 0.0000 1
Br1 Br 0.5000 0.5000 0.5000 1
# E_form (uncorrected) ... 0.80 eV/atom

***

[3]
# Ti2AlSe6 (PBE, optimized geometry)
data_Ti2AlSe6
_chemical_formula_sum 'Ti4 Al2 Se12'
_space_group_name_H-M_alt 'P 42/m n m'
_space_group_IT_number 136
_space_group_name_Hall '-P 4n 2n'
_cell_length_a 6.1101
_cell_length_b 6.1101
_cell_length_c 11.0349
_cell_angle_alpha 90.00
_cell_angle_beta 90.00
_cell_angle_gamma 90.00
loop_
_atom_site_label
_atom_site_type_symbol
_atom_site_fract_x
_atom_site_fract_y
_atom_site_fract_z
_atom_site_occupancy
Ti1 Ti 0.0000 0.0000 0.1602 1
Al1 Al 0.0000 0.0000 0.5000 1
Se1 Se 0.1973 0.1973 0.3303 1
Se2 Se 0.2030 0.2030 0.0000 1
# E_form (uncorrected) ... -0.80 eV/atom

***

| no. | density (Mg/m³) |
| --- | --- |
| 1 | 8.90 |
| 2 | 7.03 |
| 3 | 4.81 |